Record 1
A relaxed structure of DyHoTc4. Source: Alexandria, functional PBE.

a b c (Å): 5.3992 5.3992 5.3992
angles (deg): 60.00 60.00 60.00
Last column: nearest neighbours and their distance in Å.
Fractional coordinates of all 6 atoms:
Dy: 0.0000 0.0000 0.0000  12 Tc 3.17, 4 Ho 3.31
Ho: 0.7500 0.7500 0.7500  12 Tc 3.17, 4 Dy 3.31
Tc: 0.3750 0.3750 0.3750  6 Tc 2.70
Tc: 0.3750 0.3750 0.8750  6 Tc 2.70
Tc: 0.3750 0.8750 0.3750  6 Tc 2.70
Tc: 0.8750 0.3750 0.3750  6 Tc 2.70

## Properties
The formation energy from the elements is -0.152 eV/atom.

=====

Record 2
A relaxed structure of InSb2P. Source: Alexandria, functional PBE.

a b c (Å): 3.1061 5.7000 6.3022
angles (deg): 90.00 104.03 90.00
Last column: nearest neighbours and their distance in Å.
Fractional coordinates of all 4 atoms:
In: 0.0000 0.0000 0.0000  4 Sb 2.94-3.17, 2 In 3.11
Sb: 0.0517 0.5000 0.1211  1 P 2.54
Sb: 0.2697 0.0000 0.5501  2 P 2.85, 2 Sb 3.11, 2 In 3.15-3.17
P: 0.2594 0.5000 0.5371  1 Sb 2.54

## Properties
As for the relative energy among the computed polymorphs: 0.38 eV/f.u.

=====

Record 3
A relaxed structure of SrNd2Ni. Source: Alexandria, functional PBE.

a b c (Å): 11.0573 11.0573 11.0573
angles (deg): 20.81 20.81 20.81
Last column: nearest neighbours and their distance in Å.
Fractional coordinates of all 4 atoms:
Sr: 0.0000 0.0000 0.0000  2 Nd 3.86, 6 Sr 3.99
Nd: 0.1190 0.1190 0.1190  3 Ni 2.78
Nd: 0.8810 0.8810 0.8810  3 Ni 2.78
Ni: 0.5000 0.5000 0.5000  6 Nd 2.78

## Properties
The formation energy from the elements is 0.040 eV/atom. As for the relative energy among the computed polymorphs: 0.42 eV/f.u.

=====

Record 4
A relaxed structure of Tb2MgPdO6. Source: Alexandria, functional PBE.

a b c (Å): 5.3652 5.7090 9.3814
angles (deg): 90.00 124.55 90.00
Last column: nearest neighbours and their distance in Å.
Fractional coordinates of all 20 atoms:
Tb: 0.2297 0.0720 0.2510  6 O 2.26-2.53
Tb: 0.2297 0.4280 0.7510  6 O 2.26-2.53
Tb: 0.7703 0.5720 0.2490  6 O 2.26-2.53
Tb: 0.7703 0.9280 0.7490  6 O 2.26-2.53
Mg: 0.5000 0.0000 0.0000  6 O 2.07-2.08
Mg: 0.5000 0.5000 0.5000  6 O 2.07-2.08
Pd: 0.0000 0.0000 0.5000  6 O 2.03-2.05
Pd: 0.0000 0.5000 0.0000  6 O 2.03-2.05
O: 0.1264 0.1987 0.9391  1 Pd 2.05, 1 Mg 2.08
O: 0.1264 0.3013 0.4391  1 Pd 2.05, 1 Mg 2.08
O: 0.2496 0.6939 0.9418  1 Pd 2.04, 1 Mg 2.08
O: 0.2496 0.8061 0.4418  1 Pd 2.04, 1 Mg 2.08
O: 0.3656 0.0446 0.7473  1 Pd 2.03, 1 Mg 2.07, 1 Tb 2.26
O: 0.3656 0.4554 0.2473  1 Pd 2.03, 1 Mg 2.07, 1 Tb 2.26
O: 0.6344 0.5446 0.7527  1 Pd 2.03, 1 Mg 2.07, 1 Tb 2.26
O: 0.6344 0.9554 0.2527  1 Pd 2.03, 1 Mg 2.07, 1 Tb 2.26
O: 0.7504 0.1939 0.5582  1 Pd 2.04, 1 Mg 2.08
O: 0.7504 0.3061 0.0582  1 Pd 2.04, 1 Mg 2.08
O: 0.8736 0.6987 0.5609  1 Pd 2.05, 1 Mg 2.08
O: 0.8736 0.8013 0.0609  1 Pd 2.05, 1 Mg 2.08

## Properties
The total DFT energy (no corrections) comes out at -7.044 eV per atom.

=====

Here are the calculated total magnetic moment numbers, same order: 0.00; 0.00; 0.00; 0.00 (μB/cell).
Here are the calculated Fermi-level density of states numbers, same order: 8.7; 1.5; 5.2; 0.0 (states/eV/f.u.).
Here are the calculated mass density numbers, same order: 10.73; 5.97; 4.83; 7.64 (g/cm3).